[1]
Crystalline ZrNiRu at its relaxed geometry, computed with PBE.

Unit cell a=4.422 b=4.422 c=5.408 alpha=90.00 beta=90.00 gamma=120.00
Element x y z (fractional)
Ni: 0.333 0.667 0.750
Ni: 0.667 0.333 0.250
Ru: 0.000 0.000 0.500
Ru: 0.000 0.000 0.000
Zr: 0.333 0.667 0.250
Zr: 0.667 0.333 0.750

As for the space-group type: No. 194. The theoretical density comes out at 9.10 Mg/m³. The energy above the most stable polymorph in this dataset is 0 meV per atom. The calculated formation energy is -117.4 kJ/mol of formula units.

[2]
Crystalline Ag12S3F5 at its relaxed geometry, computed with PBE.

Unit cell a=12.659 b=12.659 c=12.659 alpha=109.47 beta=109.47 gamma=109.47
Element x y z (fractional)
Ag: 0.824 0.927 0.056
Ag: 0.056 0.427 0.824
Ag: 0.603 0.872 0.427
Ag: 0.103 0.927 0.372
Ag: 0.444 0.676 0.073
Ag: 0.927 0.103 0.872
Ag: 0.372 0.427 0.103
Ag: 0.128 0.731 0.556
Ag: 0.056 0.628 0.731
Ag: 0.731 0.603 0.176
Ag: 0.397 0.128 0.573
Ag: 0.676 0.231 0.603
Ag: 0.269 0.397 0.824
Ag: 0.397 0.269 0.324
Ag: 0.944 0.573 0.176
Ag: 0.231 0.556 0.628
Ag: 0.573 0.944 0.676
Ag: 0.944 0.372 0.269
Ag: 0.872 0.603 0.927
Ag: 0.628 0.573 0.897
Ag: 0.073 0.897 0.128
Ag: 0.556 0.324 0.927
Ag: 0.603 0.731 0.676
Ag: 0.824 0.897 0.269
Ag: 0.231 0.676 0.103
Ag: 0.927 0.824 0.556
Ag: 0.324 0.769 0.397
Ag: 0.269 0.872 0.944
Ag: 0.769 0.324 0.897
Ag: 0.731 0.128 0.056
Ag: 0.176 0.073 0.944
Ag: 0.897 0.824 0.769
Ag: 0.128 0.397 0.073
Ag: 0.872 0.269 0.444
Ag: 0.427 0.056 0.324
Ag: 0.628 0.056 0.231
Ag: 0.444 0.769 0.872
Ag: 0.176 0.103 0.731
Ag: 0.073 0.176 0.444
Ag: 0.324 0.556 0.427
Ag: 0.897 0.073 0.628
Ag: 0.556 0.231 0.128
Ag: 0.372 0.944 0.769
Ag: 0.676 0.444 0.573
Ag: 0.573 0.628 0.397
Ag: 0.103 0.176 0.231
Ag: 0.769 0.444 0.372
Ag: 0.427 0.372 0.603
F: 0.000 0.000 0.000
F: 0.500 0.000 0.500
F: 0.000 0.500 0.500
F: 0.375 0.125 0.750
F: 0.500 0.500 0.000
F: 0.750 0.125 0.875
F: 0.500 0.000 0.000
F: 0.625 0.875 0.250
F: 0.125 0.375 0.250
F: 0.625 0.750 0.875
F: 0.750 0.625 0.375
F: 0.375 0.250 0.125
F: 0.250 0.875 0.125
F: 0.875 0.250 0.625
F: 0.000 0.500 0.000
F: 0.500 0.500 0.500
F: 0.250 0.375 0.625
F: 0.125 0.750 0.375
F: 0.000 0.000 0.500
F: 0.875 0.625 0.750
S: 0.750 0.375 0.125
S: 0.875 0.125 0.250
S: 0.750 0.875 0.625
S: 0.625 0.375 0.750
S: 0.625 0.250 0.375
S: 0.125 0.250 0.875
S: 0.875 0.750 0.125
S: 0.250 0.625 0.875
S: 0.375 0.750 0.625
S: 0.250 0.125 0.375
S: 0.125 0.875 0.750
S: 0.375 0.625 0.250

As for the space-group type: No. 230. The theoretical density comes out at 6.32 Mg/m³. The uncorrected formation energy comes out at -0.443 eV per atom.

[3]
Crystalline Ba3Ag2H9 at its relaxed geometry, computed with PBE.

Unit cell a=7.388 b=7.388 c=7.388 alpha=84.50 beta=84.50 gamma=84.50
Element x y z (fractional)
H: 0.237 0.583 0.410
H: 0.263 0.090 0.917
H: 0.090 0.917 0.263
H: 0.089 0.250 0.411
H: 0.917 0.263 0.090
H: 0.411 0.089 0.250
H: 0.750 0.589 0.911
H: 0.250 0.411 0.089
H: 0.763 0.417 0.590
H: 0.590 0.763 0.417
H: 0.410 0.237 0.583
H: 0.583 0.410 0.237
H: 0.911 0.750 0.589
H: 0.083 0.737 0.910
H: 0.737 0.910 0.083
H: 0.417 0.590 0.763
H: 0.910 0.083 0.737
H: 0.589 0.911 0.750
Ag: 0.352 0.352 0.352
Ag: 0.148 0.148 0.148
Ag: 0.648 0.648 0.648
Ag: 0.852 0.852 0.852
Ba: 0.417 0.750 0.083
Ba: 0.250 0.917 0.583
Ba: 0.917 0.583 0.250
Ba: 0.750 0.083 0.417
Ba: 0.583 0.250 0.917
Ba: 0.083 0.417 0.750

For the total DFT energy (no corrections), the calculation gives -3.21 eV per atom. As for the space-group type: No. 167. The theoretical density comes out at 5.31 Mg/m³.